Entry 1:
A plane-wave DFT calculation with PBE was carried out for a geometry-optimized NdAg structure.

Cell and atoms, written as POSCAR:
```
NdAg
1.0
0.000 3.086 3.086
3.086 0.000 3.086
3.086 3.086 0.000
Ag Nd
1 1
Cartesian
0.000 0.000 0.000
3.086 3.086 3.086
```

Output
Calculated formation energy in eV/atom: -0.027



Entry 2:
A plane-wave DFT calculation with PBE was carried out for a geometry-optimized NdAg2 structure.

Cell and atoms, written as POSCAR:
```
NdAg2
1.0
-1.081 1.539 5.626
-0.335 5.635 -1.824
-3.327 -4.768 -1.174
Ag Nd
4 2
Cartesian
-1.349 5.865 3.342
-2.138 2.956 -0.396
-2.606 -0.550 3.024
-3.394 -3.459 -0.714
-1.761 2.533 2.883
-2.982 -0.127 -0.256
```

Output
Calculated formation energy in eV/atom: -0.285



Entry 3:
A plane-wave DFT calculation with PBE was carried out for a geometry-optimized NdAg structure.

Cell and atoms, written as POSCAR:
```
NdAg
1.0
-0.561 -3.409 -0.030
3.084 1.252 -0.929
1.555 -0.297 4.759
Ag Nd
1 1
Cartesian
1.820 -2.079 3.240
2.257 -0.376 0.560
```

Output
Calculated formation energy in eV/atom: -0.018



Entry 4:
A plane-wave DFT calculation with PBE was carried out for a geometry-optimized Nd3Ag2 structure.

Cell and atoms, written as POSCAR:
```
Nd3Ag2
1.0
5.387 4.506 3.468
7.013 -2.409 -2.521
2.462 5.190 -5.324
Ag Nd
6 9
Cartesian
6.909 2.332 0.606
10.157 2.104 -2.246
6.185 1.212 -3.717
8.678 6.075 -0.660
4.705 5.182 -2.131
7.954 4.954 -4.983
8.000 -0.119 -1.539
9.968 3.189 0.685
4.205 2.061 -1.238
6.082 5.325 1.013
7.431 3.643 -2.189
8.780 1.961 -5.390
10.658 5.225 -3.139
4.895 4.097 -5.062
6.863 7.405 -2.838
```

Output
Calculated formation energy in eV/atom: -0.155



Entry 5:
A plane-wave DFT calculation with PBE was carried out for a geometry-optimized NdAg2 structure.

Cell and atoms, written as POSCAR:
```
NdAg2
1.0
0.000 4.066 4.066
4.066 0.000 4.066
4.066 4.066 0.000
Ag Nd
4 2
Cartesian
3.050 3.050 5.083
3.050 5.083 3.050
5.083 3.050 3.050
5.083 5.083 5.083
0.000 0.000 0.000
2.033 2.033 2.033
```

Output
Calculated formation energy in eV/atom: -0.162



Entry 6:
A plane-wave DFT calculation with PBE was carried out for a geometry-optimized NdAg structure.

Cell and atoms, written as POSCAR:
```
NdAg
1.0
0.000 3.344 3.344
3.344 0.000 3.344
3.344 3.344 0.000
Ag Nd
1 1
Cartesian
0.000 0.000 0.000
1.672 1.672 1.672
```

Output
Calculated formation energy in eV/atom: 0.446



Entry 7:
A plane-wave DFT calculation with PBE was carried out for a geometry-optimized NdAg structure.

Cell and atoms, written as POSCAR:
```
NdAg
1.0
-0.873 -3.632 0.234
1.810 -0.642 -3.212
3.157 -0.636 1.907
Ag Nd
1 1
Cartesian
2.047 -2.455 -0.536
0.000 0.000 0.000
```

Output
Calculated formation energy in eV/atom: -0.270



Entry 8:
A plane-wave DFT calculation with PBE was carried out for a geometry-optimized NdNi4Ag structure.

Cell and atoms, written as POSCAR:
```
NdNi4Ag
1.0
0.000 3.537 3.537
3.537 0.000 3.537
3.537 3.537 0.000
Ag Nd Ni
1 1 4
Cartesian
1.769 1.769 1.769
3.537 3.537 3.537
4.413 4.413 6.198
4.413 6.198 4.413
6.198 4.413 4.413
6.198 6.198 6.198
```

Output
Calculated formation energy in eV/atom: -0.225



Entry 9:
A plane-wave DFT calculation with PBE was carried out for a geometry-optimized Nd2NiAgSb4 structure.

Cell and atoms, written as POSCAR:
```
Nd2NiAgSb4
1.0
4.414 0.000 0.000
0.000 4.414 0.000
0.000 0.000 10.202
Ag Nd Ni Sb
1 2 1 4
Cartesian
0.000 0.000 0.000
2.207 0.000 2.565
0.000 2.207 7.636
2.207 2.207 0.000
0.000 2.207 1.600
0.000 0.000 5.101
2.207 2.207 5.101
2.207 0.000 8.602
```

Output
VASP energy in eV/f.u.: -39.6



Entry 10:
A plane-wave DFT calculation with PBE was carried out for a geometry-optimized NdNpAg structure.

Cell and atoms, written as POSCAR:
```
NdNpAg
1.0
-3.026 -1.480 3.578
0.324 2.002 4.476
-3.546 2.995 1.614
Ag Nd Np
1 1 1
Cartesian
-4.686 2.638 7.251
0.000 0.000 0.000
-1.562 0.879 2.417
```

Output
Calculated formation energy in eV/atom: 0.880



Entry 11:
A plane-wave DFT calculation with PBE was carried out for a geometry-optimized Nd3AgO6 structure.

Cell and atoms, written as POSCAR:
```
Nd3AgO6
1.0
3.784 0.000 0.000
-0.109 5.697 0.000
-1.659 -0.155 6.902
Ag Nd O
1 3 6
Cartesian
0.000 0.000 0.000
1.030 2.662 1.596
-0.829 -0.078 3.451
0.986 2.880 5.306
2.917 3.995 0.849
2.921 1.176 1.391
0.954 4.169 3.332
1.062 1.373 3.570
-0.904 4.366 5.511
-0.901 1.547 6.053
```

Output
VASP energy in eV/f.u.: -72.4



Entry 12:
A plane-wave DFT calculation with PBE was carried out for a geometry-optimized NdAg2O4 structure.

Cell and atoms, written as POSCAR:
```
NdAg2O4
1.0
4.200 -5.154 0.000
4.200 5.154 0.000
-4.181 0.000 4.295
Ag Nd O
4 2 8
Cartesian
2.100 2.577 0.000
4.200 0.000 0.000
0.010 -2.577 2.147
2.110 0.000 2.147
3.155 -3.869 1.074
1.065 3.869 3.221
1.253 0.728 0.366
4.608 -1.871 0.920
1.701 -1.871 1.227
5.057 0.728 1.781
-0.837 -0.728 2.514
2.518 1.871 3.067
-0.389 1.871 3.374
2.967 -0.728 3.928
```

Output
VASP energy in eV/f.u.: -39.1



no.,volume (Å³/cell)
1,58.79
2,139.76
3,51.85
4,426.67
5,134.46
6,74.81
7,52.42
8,88.50
9,198.81
10,83.91
11,148.78
12,185.92